# AcNd4Si4

Crystalline AcNd4Si4 at its relaxed geometry (PBE, Alexandria via LeMat-Bulk).

For the energy relative to the elements, uncorrected, the calculation gives -363 kJ/mol of formula units.

The structure belongs to space group P4_2/n (No. 86, origin choice 2); the cell edges are 9.6341, 9.6341 and 5.9400 Å and the angles 90.00°, 90.00° and 90.00°. The asymmetric unit holds Ac at (0.2500, 0.2500, 0.2500), Nd at (0.1047, 0.6376, 0.1246) and Si at (0.0502, 0.5841, 0.6293).



# NiPb2Se

Crystalline NiPb2Se at its relaxed geometry (PBE, Alexandria via LeMat-Bulk).

For the energy relative to the elements, uncorrected, the calculation gives 8 kJ/mol of formula units.

The structure belongs to space group C2/m (No. 12); the cell edges are 6.8581, 3.9483 and 7.4447 Å and the angles 90.00°, 107.64° and 90.00°. The asymmetric unit holds Ni at (0.0000, 0.0000, 0.0000), Pb at (0.2381, 0.5000, 0.2153) and Se at (0.0000, 0.5000, 0.5000).